Record 1
KPaSb2O7 after structural relaxation. Source: Alexandria via LeMat-Bulk, functional PBE-GGA.

Cell: 3.948 3.948 11.281 Å, 90.00 90.00 90.00°
Each line ends with the local moment (μB).
Fractional positions:
O: 0.500 0.000 0.853  -0.01
O: 0.500 0.500 0.629  0.03
O: 0.500 0.500 0.371  0.03
O: 0.500 0.000 0.147  -0.01
O: 0.500 0.500 0.000  0.00
O: 0.000 0.500 0.853  -0.01
O: 0.000 0.500 0.147  -0.01
Pa: 0.000 0.000 0.000  1.20
K: 0.000 0.000 0.500  0.00
Sb: 0.500 0.500 0.796  0.03
Sb: 0.500 0.500 0.204  0.03

Summary:
Its space group is P4/mmm, No. 123. As for the total DFT energy (no corrections): -6.66 eV/atom.

=====

Record 2
K2PaSbO6 after structural relaxation. Source: Alexandria via LeMat-Bulk, functional PBE-GGA.

Cell: 4.241 5.935 5.935 Å, 90.00 90.00 90.00°
Fractional positions:
O: 0.145 0.000 0.000
O: 0.645 0.240 0.240
O: 0.645 0.240 0.760
O: 0.145 0.500 0.500
O: 0.645 0.760 0.240
O: 0.645 0.760 0.760
Pa: 0.645 0.500 0.500
K: 0.145 0.500 0.000
K: 0.145 0.000 0.500
Sb: 0.645 0.000 0.000

Summary:
Its space group is P4/mmm, No. 123. As for the total DFT energy (no corrections): -6.91 eV/atom.

=====

Record 3
K3PaSb2O8 after structural relaxation. Source: Alexandria via LeMat-Bulk, functional PBE-GGA.

Cell: 6.208 6.208 7.923 Å, 90.00 90.00 120.00°
Fractional positions:
O: 0.333 0.667 0.973
O: 0.165 0.330 0.339
O: 0.330 0.165 0.661
O: 0.670 0.835 0.339
O: 0.835 0.670 0.661
O: 0.835 0.165 0.661
O: 0.165 0.835 0.339
O: 0.667 0.333 0.027
Sb: 0.667 0.333 0.786
Sb: 0.333 0.667 0.214
K: 0.000 0.000 0.000
K: 0.667 0.333 0.344
K: 0.333 0.667 0.656
Pa: 0.000 0.000 0.500

Summary:
Its space group is P-3m1, No. 164. As for the total DFT energy (no corrections): -6.23 eV/atom.

=====

Respective formation energy (no corrections) values: -1788 -2354 -1897 meV/atom.
Respective spin magnetization values: 0.1231 0.0000 0.0000 μB/atom.